1.
Entry from Alexandria: a geometry-optimized Sn2HRh4 structure (GGA-PBE).

a b c (Å): 7.2757 7.2757 7.2757
angles (deg): 148.59 148.59 45.02
Last column: nearest neighbours and their distance in Å.
Positions (direct):
Sn  0.1424  0.1424  0.0000  9 Rh 2.60-2.80
Sn  0.8576  0.8576  0.0000  9 Rh 2.60-2.80
H  0.5000  0.5000  0.0000  4 Rh 1.97
Rh  0.0000  0.5000  0.5000  2 H 1.97
Rh  0.3358  0.3358  0.0000  1 H 2.21
Rh  0.5000  0.0000  0.5000  2 H 1.97
Rh  0.6642  0.6642  0.0000  1 H 2.21

E_tot = -42.69 eV/cell
N(E_F) = 7.79 states/eV/f.u.

=====

2.
Entry from Alexandria: a geometry-optimized SnHRh2 structure (GGA-PBE).

a b c (Å): 3.0532 3.0532 5.8394
angles (deg): 90.00 90.00 90.00
Last column: nearest neighbours and their distance in Å.
Positions (direct):
Sn  0.0000  0.0000  0.0000  8 Rh 2.70, 2 H 2.92
H  0.0000  0.0000  0.5000  8 Rh 2.52
Rh  0.5000  0.5000  0.2762  4 H 2.52, 1 Rh 2.61, 4 Sn 2.70
Rh  0.5000  0.5000  0.7238  4 H 2.52, 1 Rh 2.61, 4 Sn 2.70

distance to the lowest polymorph of the same formula = 0.380 eV/atom
N(E_F) = 1.49 states/eV/f.u.

=====

3.
Entry from Alexandria: a geometry-optimized SnHRh3 structure (GGA-PBE).

a b c (Å): 4.0052 4.0052 4.0052
angles (deg): 90.00 90.00 90.00
Last column: nearest neighbours and their distance in Å.
Positions (direct):
Sn  0.0000  0.0000  0.0000  12 Rh 2.83
H  0.5000  0.5000  0.5000  6 Rh 2.00
Rh  0.0000  0.5000  0.5000  2 H 2.00
Rh  0.5000  0.0000  0.5000  2 H 2.00
Rh  0.5000  0.5000  0.0000  2 H 2.00

distance to the lowest polymorph of the same formula = 0.000 eV/atom
N(E_F) = 2.52 states/eV/f.u.

=====

4.
Entry from Alexandria: a geometry-optimized SnHRh3 structure (GGA-PBE).

a b c (Å): 5.2272 5.2272 5.2272
angles (deg): 80.94 80.94 80.94
Last column: nearest neighbours and their distance in Å.
Positions (direct):
Sn  0.0000  0.0000  0.0000  2 H 2.60, 6 Rh 2.68
Sn  0.5000  0.5000  0.5000  2 H 2.60, 6 Rh 2.68
H  0.2500  0.2500  0.2500  3 Rh 1.79
H  0.7500  0.7500  0.7500  3 Rh 1.79
Rh  0.0132  0.7500  0.4868  1 H 1.79
Rh  0.2500  0.5132  0.9868  1 H 1.79
Rh  0.4868  0.0132  0.7500  1 H 1.79
Rh  0.5132  0.9868  0.2500  1 H 1.79
Rh  0.7500  0.4868  0.0132  1 H 1.79
Rh  0.9868  0.2500  0.5132  1 H 1.79

distance to the lowest polymorph of the same formula = 0.370 eV/atom
N(E_F) = 6.21 states/eV/f.u.

=====

5.
Entry from Alexandria: a geometry-optimized Sn3HRh structure (GGA-PBE).

a b c (Å): 4.5327 4.5327 4.5327
angles (deg): 90.00 90.00 90.00
Last column: nearest neighbours and their distance in Å.
Positions (direct):
Sn  0.0000  0.0000  0.5000  2 H 2.27
Sn  0.0000  0.5000  0.0000  2 H 2.27
Sn  0.5000  0.0000  0.0000  2 H 2.27
H  0.0000  0.0000  0.0000  6 Sn 2.27
Rh  0.5000  0.5000  0.5000  12 Sn 3.21

distance to the lowest polymorph of the same formula = 0.000 eV/atom
N(E_F) = 2.24 states/eV/f.u.

=====

6.
Entry from Alexandria: a geometry-optimized SnH2Rh2 structure (GGA-PBE).

a b c (Å): 6.0298 6.0298 3.1810
angles (deg): 90.00 90.00 90.00
Last column: nearest neighbours and their distance in Å.
Positions (direct):
Sn  0.0000  0.0000  0.0000  4 H 2.53, 8 Rh 2.75
Sn  0.5000  0.5000  0.0000  4 H 2.53, 8 Rh 2.75
H  0.0911  0.4089  0.0000  1 H 1.55, 2 Rh 1.72
H  0.4089  0.9089  0.0000  1 H 1.55, 2 Rh 1.72
H  0.5911  0.0911  0.0000  1 H 1.55, 2 Rh 1.72
H  0.9089  0.5911  0.0000  1 H 1.55, 2 Rh 1.72
Rh  0.1666  0.3334  0.5000  2 H 1.72
Rh  0.3334  0.8334  0.5000  2 H 1.72
Rh  0.6666  0.1666  0.5000  2 H 1.72
Rh  0.8334  0.6666  0.5000  2 H 1.72

distance to the lowest polymorph of the same formula = 0.085 eV/atom
N(E_F) = 1.61 states/eV/f.u.

=====

7.
Entry from Alexandria: a geometry-optimized SnHRh3 structure (GGA-PBE).

a b c (Å): 2.7898 6.8607 6.8607
angles (deg): 45.01 90.00 90.00
Last column: nearest neighbours and their distance in Å.
Positions (direct):
Sn  0.0000  0.0000  0.0000  4 Rh 2.64-2.66, 2 Sn 2.79
H  0.5000  0.6517  0.6517  5 Rh 2.01-2.18
Rh  0.0000  0.4224  0.9479  2 H 2.01
Rh  0.0000  0.9479  0.4224  2 H 2.01
Rh  0.5000  0.8234  0.8234  1 H 2.18

distance to the lowest polymorph of the same formula = 0.638 eV/atom
N(E_F) = 5.06 states/eV/f.u.

=====

8.
Entry from Alexandria: a geometry-optimized SnHRh3 structure (GGA-PBE).

a b c (Å): 7.4074 7.4074 7.4074
angles (deg): 60.00 60.00 60.00
Last column: nearest neighbours and their distance in Å.
Positions (direct):
Sn  0.0000  0.0000  0.0000  6 Rh 2.70
Sn  0.0000  0.0000  0.5000  6 Rh 2.70
Sn  0.0000  0.5000  0.0000  6 Rh 2.70
Sn  0.5000  0.0000  0.0000  6 Rh 2.70
H  0.0000  0.5000  0.5000  6 Rh 1.97
H  0.5000  0.0000  0.5000  6 Rh 1.97
H  0.5000  0.5000  0.0000  6 Rh 1.97
H  0.5000  0.5000  0.5000  6 Rh 1.97
Rh  0.1872  0.1872  0.5628  2 H 1.97
Rh  0.1872  0.5628  0.1872  2 H 1.97
Rh  0.1872  0.5628  0.5628  2 H 1.97
Rh  0.4372  0.4372  0.8128  2 H 1.97
Rh  0.4372  0.8128  0.4372  2 H 1.97
Rh  0.4372  0.8128  0.8128  2 H 1.97
Rh  0.5628  0.1872  0.1872  2 H 1.97
Rh  0.5628  0.1872  0.5628  2 H 1.97
Rh  0.5628  0.5628  0.1872  2 H 1.97
Rh  0.8128  0.4372  0.4372  2 H 1.97
Rh  0.8128  0.4372  0.8128  2 H 1.97
Rh  0.8128  0.8128  0.4372  2 H 1.97

distance to the lowest polymorph of the same formula = 0.189 eV/atom
N(E_F) = 3.18 states/eV/f.u.

=====

9.
Entry from Alexandria: a geometry-optimized SnH2Rh2 structure (GGA-PBE).

a b c (Å): 5.1064 5.1064 5.3741
angles (deg): 106.38 106.38 112.80
Last column: nearest neighbours and their distance in Å.
Positions (direct):
Sn  0.1223  0.8777  0.7500  6 Rh 2.66-2.78, 4 H 2.76-2.80
Sn  0.8777  0.1223  0.2500  6 Rh 2.66-2.78, 4 H 2.76-2.80
H  0.2410  0.4910  0.9880  4 Rh 1.86-2.02
H  0.4910  0.2410  0.4880  4 Rh 1.86-2.02
H  0.5090  0.7590  0.5120  4 Rh 1.86-2.02
H  0.7590  0.5090  0.0120  4 Rh 1.86-2.02
Rh  0.1933  0.8067  0.2500  4 H 1.89-1.96
Rh  0.4353  0.5647  0.7500  4 H 1.86-2.02
Rh  0.5647  0.4353  0.2500  4 H 1.86-2.02
Rh  0.8067  0.1933  0.7500  4 H 1.89-1.96

distance to the lowest polymorph of the same formula = 0.025 eV/atom
N(E_F) = 1.10 states/eV/f.u.

=====

10.
Entry from Alexandria: a geometry-optimized SnHRh3 structure (GGA-PBE).

a b c (Å): 7.1800 7.1800 4.8811
angles (deg): 90.00 90.00 135.70
Last column: nearest neighbours and their distance in Å.
Positions (direct):
Sn  0.1816  0.8184  0.7500  8 Rh 2.66-2.83
Sn  0.8184  0.1816  0.2500  8 Rh 2.66-2.83
H  0.4335  0.5665  0.7500  2 Rh 1.72
H  0.5665  0.4335  0.2500  2 Rh 1.72
Rh  0.0000  0.0000  0.0000  6 Rh 2.44-2.67, 2 Sn 2.71
Rh  0.0000  0.0000  0.5000  6 Rh 2.44-2.67, 2 Sn 2.71
Rh  0.1036  0.3966  0.7500  1 H 1.72
Rh  0.3966  0.1036  0.2500  1 H 1.72
Rh  0.6034  0.8964  0.7500  1 H 1.72
Rh  0.8964  0.6034  0.2500  1 H 1.72

distance to the lowest polymorph of the same formula = 0.533 eV/atom
N(E_F) = 4.94 states/eV/f.u.

=====

11.
Entry from Alexandria: a geometry-optimized SnHRh3 structure (GGA-PBE).

a b c (Å): 6.9562 5.4803 9.4504
angles (deg): 90.00 131.47 90.00
Last column: nearest neighbours and their distance in Å.
Positions (direct):
Sn  0.2247  0.1677  0.3441  8 Rh 2.64-2.84, 1 H 2.93
Sn  0.2247  0.3323  0.8441  8 Rh 2.64-2.84, 1 H 2.93
Sn  0.7753  0.6677  0.1559  8 Rh 2.64-2.84, 1 H 2.93
Sn  0.7753  0.8323  0.6559  8 Rh 2.64-2.84, 1 H 2.93
H  0.3216  0.7087  0.2424  4 Rh 1.79-1.87
H  0.3216  0.7913  0.7424  4 Rh 1.79-1.87
H  0.6784  0.2087  0.2576  4 Rh 1.79-1.87
H  0.6784  0.2913  0.7576  4 Rh 1.79-1.87
Rh  0.0027  0.2437  0.9820  1 H 1.82
Rh  0.0027  0.2563  0.4820  1 H 1.82
Rh  0.2920  0.6679  0.4176  1 H 1.81
Rh  0.2920  0.8322  0.9176  1 H 1.81
Rh  0.4839  0.0216  0.7211  2 H 1.79-1.87
Rh  0.4839  0.4784  0.2211  2 H 1.79-1.87
Rh  0.5161  0.5216  0.7789  2 H 1.79-1.87
Rh  0.5161  0.9784  0.2789  2 H 1.79-1.87
Rh  0.7080  0.1678  0.0824  1 H 1.81
Rh  0.7080  0.3322  0.5824  1 H 1.81
Rh  0.9973  0.7437  0.5180  1 H 1.82
Rh  0.9973  0.7563  0.0180  1 H 1.82

distance to the lowest polymorph of the same formula = 0.187 eV/atom
N(E_F) = 5.95 states/eV/f.u.

=====

12.
Entry from Alexandria: a geometry-optimized Sn2HRh structure (GGA-PBE).

a b c (Å): 4.5500 4.5500 4.5500
angles (deg): 60.00 60.00 60.00
Last column: nearest neighbours and their distance in Å.
Positions (direct):
Sn  0.2500  0.2500  0.2500  4 H 2.79, 4 Rh 2.79
Sn  0.7500  0.7500  0.7500  4 H 2.79, 4 Rh 2.79
H  0.0000  0.0000  0.0000  8 Sn 2.79
Rh  0.5000  0.5000  0.5000  8 Sn 2.79

distance to the lowest polymorph of the same formula = 0.000 eV/atom
N(E_F) = 2.32 states/eV/f.u.

=====

Among the records above, which one has the highest N(E_F)?
Sn2HRh4

=====

The highest N(E_F) belongs to which entry?
Sn2HRh4

=====

Number 5 is which compound?
Sn3HRh